<A>
# BaAg2Pt

A crystal of BaAg2Pt relaxed with PBEsol (SCAN, the Alexandria database).

abc: 3.4969 3.5159 7.1842
angles: 90.00 90.00 90.00
Last column: nearest neighbours and their distance in Å.
Space group Pmm2 (No. 25)
One atom of each set of equivalent atoms:
Ba: 0.0000 0.0000 0.0000  4 Pt 3.18, 5 Ag 3.38-3.48, 4 Ba 3.50-3.52
Ag: 0.0000 0.0000 0.5299  4 Ag 2.83, 4 Pt 2.84
Ag: 0.5000 0.5000 0.3408  1 Pt 2.74, 4 Ag 2.83
Pt: 0.5000 0.5000 0.7228  5 Ag 2.74-2.84

* calculated volume: 22.1 A^3/atom



<B>
# BaAg2Pt

A crystal of BaAg2Pt relaxed with PBEsol (SCAN, the Alexandria database).

abc: 4.6496 4.6496 16.0720
angles: 90.00 90.00 120.00
Last column: nearest neighbours and their distance in Å.
Space group R3m (No. 160, hexagonal axes)
One atom of each set of equivalent atoms:
Ba: 0.0000 0.0000 0.0000  1 Ag 3.10, 1 Pt 3.13
Ag: 0.0000 0.0000 0.1928  3 Ag 2.75, 3 Pt 2.82
Ag: 0.0000 0.0000 0.4888  3 Pt 2.70, 3 Ag 2.75
Pt: 0.0000 0.0000 0.8055  6 Ag 2.70-2.82

* calculated volume: 25.1 A^3/atom



<C>
# BaAg2Pt

A crystal of BaAg2Pt relaxed with PBEsol (SCAN, the Alexandria database).

abc: 7.0715 7.0715 7.0715
angles: 90.00 90.00 90.00
Last column: nearest neighbours and their distance in Å.
Space group Fm-3m (No. 225)
One atom of each set of equivalent atoms:
Ba: 0.0000 0.0000 0.0000  8 Ag 3.06
Ag: 0.2500 0.2500 0.2500  4 Ba 3.06, 4 Pt 3.06
Pt: 0.0000 0.0000 0.5000  8 Ag 3.06

* calculated volume: 22.1 A^3/atom



Q: Which of them is the most stable? A: <B>.



<A>
# BaSc2Ag

A crystal of BaSc2Ag relaxed with PBEsol (SCAN, the Alexandria database).

abc: 3.6489 3.6489 8.2233
angles: 90.00 90.00 90.00
Last column: nearest neighbours and their distance in Å.
Space group P4mm (No. 99)
One atom of each set of equivalent atoms:
Ba: 0.0000 0.0000 0.0000  4 Ag 3.46, 5 Sc 3.61-3.82, 4 Ba 3.65
Sc: 0.0000 0.0000 0.5607  4 Ag 2.89, 4 Sc 3.15
Sc: 0.5000 0.5000 0.3417  1 Ag 3.10, 4 Sc 3.15
Ag: 0.5000 0.5000 0.7192  5 Sc 2.89-3.10

* calculated volume: 27.4 A^3/atom



<B>
# BaSc2Ag

A crystal of BaSc2Ag relaxed with PBEsol (SCAN, the Alexandria database).

abc: 6.8752 7.7417 3.6878
angles: 90.00 90.00 90.00
Last column: nearest neighbours and their distance in Å.
Space group Cmmm (No. 65)
One atom of each set of equivalent atoms:
Ba: 0.0000 0.0000 0.0000  8 Sc 3.18, 2 Ag 3.44
Sc: 0.2500 0.2500 0.5000  4 Ba 3.18, 4 Ag 3.18, 2 Sc 3.44
Ag: 0.0000 0.5000 0.0000  8 Sc 3.18, 2 Ba 3.44

* calculated volume: 24.5 A^3/atom



Q: Which of them is the most stable? A: <A>.



<A>
# Ba2ScAg

A crystal of Ba2ScAg relaxed with PBEsol (SCAN, the Alexandria database).

abc: 4.1429 5.5237 11.3660
angles: 90.00 90.00 90.00
Last column: nearest neighbours and their distance in Å.
Space group Immm (No. 71)
One atom of each set of equivalent atoms:
Ba: 0.0000 0.0000 0.2157  2 Ag 3.21, 4 Ba 3.54
Sc: 0.0000 0.5000 0.0000  4 Ag 3.45, 8 Ba 3.69-3.84
Ag: 0.0000 0.5000 0.5000  4 Ba 3.21, 4 Sc 3.45

* calculated volume: 32.5 A^3/atom



<B>
# Ba2ScAg

A crystal of Ba2ScAg relaxed with PBEsol (SCAN, the Alexandria database).

abc: 5.6701 5.6701 8.5581
angles: 90.00 90.00 90.00
Last column: nearest neighbours and their distance in Å.
Space group I4/mmm (No. 139)
One atom of each set of equivalent atoms:
Ba: 0.0000 0.5000 0.2500  4 Sc 3.55, 4 Ag 3.55
Sc: 0.0000 0.0000 0.0000  8 Ba 3.55
Ag: 0.0000 0.0000 0.5000  8 Ba 3.55

* calculated volume: 34.4 A^3/atom



<C>
# Ba2ScAg

A crystal of Ba2ScAg relaxed with PBEsol (SCAN, the Alexandria database).

abc: 4.6576 4.6576 26.0184
angles: 90.00 90.00 120.00
Last column: nearest neighbours and their distance in Å.
Space group R3m (No. 160, hexagonal axes)
One atom of each set of equivalent atoms:
Ba: 0.0000 0.0000 0.0000  3 Sc 3.66, 3 Ag 3.69
Ba: 0.0000 0.0000 0.1921  3 Ag 3.66, 3 Sc 3.68
Sc: 0.0000 0.0000 0.4286  3 Ag 2.69
Ag: 0.0000 0.0000 0.7636  3 Sc 2.69

* calculated volume: 40.7 A^3/atom



<D>
# Ba2ScAg

A crystal of Ba2ScAg relaxed with PBEsol (SCAN, the Alexandria database).

abc: 8.2734 8.2917 3.9406
angles: 90.00 90.00 90.00
Last column: nearest neighbours and their distance in Å.
Space group Cmmm (No. 65)
One atom of each set of equivalent atoms:
Ba: 0.2500 0.2500 0.0000  4 Sc 3.53, 4 Ag 3.53, 2 Ba 3.94
Sc: 0.0000 0.0000 0.5000  8 Ba 3.53, 2 Sc 3.94
Ag: 0.0000 0.5000 0.5000  8 Ba 3.53, 2 Ag 3.94

* calculated volume: 33.8 A^3/atom



Q: Which of them is the most stable? A: <C>.



<A>
# BaSrAg

A crystal of BaSrAg relaxed with PBEsol (SCAN, the Alexandria database).

abc: 4.5968 4.5968 7.3785
angles: 90.00 90.00 120.00
Last column: nearest neighbours and their distance in Å.
Space group P3m1 (No. 156)
One atom of each set of equivalent atoms:
Ba: 0.0000 0.0000 0.0000  3 Ag 3.27
Sr: 0.6667 0.3333 0.4892  3 Ag 3.15
Ag: 0.3333 0.6667 0.2584  3 Sr 3.15, 3 Ba 3.27

* calculated volume: 45.0 A^3/atom



<B>
# BaSrAg

A crystal of BaSrAg relaxed with PBEsol (SCAN, the Alexandria database).

abc: 3.9875 3.9875 14.3511
angles: 90.00 90.00 90.00
Last column: nearest neighbours and their distance in Å.
Space group I4mm (No. 107)
One atom of each set of equivalent atoms:
Ba: 0.0000 0.0000 0.0000  4 Ag 3.46, 1 Sr 3.76
Sr: 0.0000 0.0000 0.7381  4 Ag 3.32
Ag: 0.0000 0.0000 0.3602  4 Sr 3.32, 4 Ba 3.46

* calculated volume: 38.0 A^3/atom



<C>
# BaSrAg

A crystal of BaSrAg relaxed with PBEsol (SCAN, the Alexandria database).

abc: 7.6818 7.6818 7.6818
angles: 90.00 90.00 90.00
Last column: nearest neighbours and their distance in Å.
Space group F-43m (No. 216)
One atom of each set of equivalent atoms:
Ba: 0.0000 0.0000 0.0000  4 Ag 3.33, 4 Sr 3.33
Sr: 0.2500 0.2500 0.2500  4 Ba 3.33
Ag: 0.2500 0.2500 0.7500  4 Ba 3.33

* calculated volume: 37.8 A^3/atom



Q: Which of them is the most stable? A: <B>.



<A>
# BaTaAg2

A crystal of BaTaAg2 relaxed with PBEsol (SCAN, the Alexandria database).

abc: 4.6608 2.9893 13.4154
angles: 90.00 90.00 90.00
Last column: nearest neighbours and their distance in Å.
Space group Amm2 (No. 38)
One atom of each set of equivalent atoms:
Ba: 0.0000 0.0000 0.0000  2 Ba 2.99, 5 Ag 3.29-3.33
Ta: 0.5000 0.0000 0.6896  6 Ag 2.82-2.88, 2 Ta 2.99
Ag: 0.0000 0.0000 0.2482  4 Ag 2.83-2.99, 4 Ta 2.88
Ag: 0.5000 0.0000 0.3678  2 Ta 2.82, 4 Ag 2.83-2.99

* calculated volume: 23.4 A^3/atom



<B>
# BaTaAg2

A crystal of BaTaAg2 relaxed with PBEsol (SCAN, the Alexandria database).

abc: 5.4177 5.4177 3.0036
angles: 90.00 90.00 90.00
Last column: nearest neighbours and their distance in Å.
Space group P4/mmm (No. 123)
One atom of each set of equivalent atoms:
Ba: 0.0000 0.0000 0.0000  2 Ba 3.00, 8 Ag 3.10
Ta: 0.5000 0.5000 0.0000  2 Ta 3.00, 8 Ag 3.10
Ag: 0.0000 0.5000 0.5000  2 Ag 3.00, 4 Ba 3.10, 4 Ta 3.10

* calculated volume: 22.0 A^3/atom



<C>
# BaTaAg2

A crystal of BaTaAg2 relaxed with PBEsol (SCAN, the Alexandria database).

abc: 3.5727 4.8826 4.9960
angles: 90.00 90.00 90.00
Last column: nearest neighbours and their distance in Å.
Space group Pmmm (No. 47)
One atom of each set of equivalent atoms:
Ba: 0.0000 0.0000 0.0000  4 Ag 3.03, 4 Ta 3.07
Ta: 0.5000 0.0000 0.5000  4 Ag 3.03, 4 Ba 3.07
Ag: 0.0000 0.5000 0.5000  4 Ta 3.03, 4 Ag 3.07
Ag: 0.5000 0.5000 0.0000  4 Ba 3.03, 4 Ag 3.07

* calculated volume: 21.8 A^3/atom



Q: Which of them is the most stable? A: <A>.



<A>
# Ba2TaAg

A crystal of Ba2TaAg relaxed with PBEsol (SCAN, the Alexandria database).

abc: 4.9798 3.5999 13.6033
angles: 90.00 90.00 90.00
Last column: nearest neighbours and their distance in Å.
Space group Amm2 (No. 38)
One atom of each set of equivalent atoms:
Ba: 0.0000 0.0000 0.0000  2 Ag 3.25, 4 Ta 3.37, 2 Ba 3.60
Ba: 0.5000 0.0000 0.3094  2 Ta 3.36, 4 Ag 3.42, 2 Ba 3.60
Ta: 0.5000 0.0000 0.6010  2 Ag 2.83
Ag: 0.0000 0.0000 0.6991  2 Ta 2.83

* calculated volume: 30.5 A^3/atom



<B>
# Ba2TaAg

A crystal of Ba2TaAg relaxed with PBEsol (SCAN, the Alexandria database).

abc: 12.8863 3.4090 5.7859
angles: 90.00 111.08 90.00
Last column: nearest neighbours and their distance in Å.
Space group Cm (No. 8)
One atom of each set of equivalent atoms:
Ba: 0.0000 0.0000 0.0000  3 Ba 3.41-3.73, 4 Ag 3.42-3.44, 3 Ta 3.59-3.67
Ba: 0.2016 0.0000 0.6516  3 Ba 3.41-3.73, 4 Ta 3.42-3.49, 3 Ag 3.57-3.65
Ta: 0.2706 0.5000 0.2139  2 Ag 2.73
Ag: 0.4407 0.0000 0.4541  2 Ta 2.73

* calculated volume: 29.6 A^3/atom



Q: Which of them is the most stable? A: <B>.



<A>
# BaTlAg

A crystal of BaTlAg relaxed with PBEsol (SCAN, the Alexandria database).

abc: 3.9202 3.9202 11.4575
angles: 90.00 90.00 90.00
Last column: nearest neighbours and their distance in Å.
Space group I4mm (No. 107)
One atom of each set of equivalent atoms:
Ba: 0.0000 0.0000 0.0000  5 Tl 3.44-3.59, 5 Ag 3.52-3.54
Tl: 0.0000 0.0000 0.3004  4 Ag 3.03
Ag: 0.0000 0.0000 0.6927  4 Tl 3.03

* calculated volume: 29.3 A^3/atom



<B>
# BaTlAg

A crystal of BaTlAg relaxed with PBEsol (SCAN, the Alexandria database).

abc: 4.9861 4.9861 4.2890
angles: 90.00 90.00 120.00
Last column: nearest neighbours and their distance in Å.
Space group P-6m2 (No. 187)
One atom of each set of equivalent atoms:
Ba: 0.0000 0.0000 0.0000  6 Ag 3.59, 6 Tl 3.59
Tl: 0.3333 0.6667 0.5000  3 Ag 2.88
Ag: 0.6667 0.3333 0.5000  3 Tl 2.88

* calculated volume: 30.8 A^3/atom



Q: Which of them is the most stable? A: <B>.



<A>
# BaY2Ag

A crystal of BaY2Ag relaxed with PBEsol (SCAN, the Alexandria database).

abc: 4.7774 4.7774 5.3233
angles: 90.00 90.00 90.00
Last column: nearest neighbours and their distance in Å.
Space group P4/mmm (No. 123)
One atom of each set of equivalent atoms:
Ba: 0.0000 0.0000 0.0000  4 Ag 3.38, 8 Y 3.58
Y: 0.0000 0.5000 0.5000  4 Y 3.38, 4 Ba 3.58, 4 Ag 3.58
Ag: 0.5000 0.5000 0.0000  4 Ba 3.38, 8 Y 3.58

* calculated volume: 30.4 A^3/atom



<B>
# BaY2Ag

A crystal of BaY2Ag relaxed with PBEsol (SCAN, the Alexandria database).

abc: 7.5829 7.5829 7.5829
angles: 90.00 90.00 90.00
Last column: nearest neighbours and their distance in Å.
Space group Fm-3m (No. 225)
One atom of each set of equivalent atoms:
Ba: 0.0000 0.0000 0.0000  8 Y 3.28
Y: 0.2500 0.2500 0.2500  4 Ba 3.28, 4 Ag 3.28
Ag: 0.0000 0.0000 0.5000  8 Y 3.28

* calculated volume: 27.3 A^3/atom



Q: Which of them is the most stable? A: <A>.